# ZrIn4W, optimized geometry, DFT GGA-PBE
data_ZrIn4W
_chemical_formula_sum 'Zr4 In16 W4'
_symmetry_space_group_name_H-M 'F -4 3 m'
_symmetry_Int_Tables_number 216
_symmetry_space_group_name_Hall 'F -4 2 3'
_cell_length_a 8.0159
_cell_length_b 8.0159
_cell_length_c 8.0159
_cell_angle_alpha 90.00
_cell_angle_beta 90.00
_cell_angle_gamma 90.00
loop_
_atom_site_label
_atom_site_fract_x
_atom_site_fract_y
_atom_site_fract_z
Zr1 0.0000 0.0000 0.0000
In1 0.1249 0.1249 0.6249
W1 0.2500 0.2500 0.2500
# Raw total energy (eV per atom): -4.78
# Crystal system: cubic
# V (Å³ per cell): 515.1